First-principles (PBE+U) data for a geometry-optimized P2WSO structure, as listed in Alexandria.

Computed properties:
- E_tot (eV/cell) = -26.2
- space-group type = No. 123
- mass density (Mg/m³) = 5.47
- crystal system = tetragonal

Cell lengths 4.840, 4.840, 3.810 Å; angles 90.00, 90.00, 90.00 degrees
Site moments in Bohr magnetons follow the coordinates.
Fractional coordinates of all 5 atoms:
P  0.000  0.500  0.000  -0.05
P  0.500  0.000  0.000  -0.05
W  0.000  0.000  0.000  0.34
O  0.000  0.000  0.500  -0.04
S  0.500  0.500  0.500  0.05

=====

First-principles (PBE+U) data for a geometry-optimized PWS2O structure, as listed in Alexandria.

Computed properties:
- E_tot (eV/cell) = -21.0
- space-group type = No. 123
- mass density (Mg/m³) = 4.79
- crystal system = tetragonal

Cell lengths 4.585, 4.585, 4.867 Å; angles 90.00, 90.00, 90.00 degrees
Fractional coordinates of all 5 atoms:
S  0.500  0.000  0.000
S  0.000  0.500  0.000
W  0.000  0.000  0.000
P  0.000  0.000  0.500
O  0.500  0.500  0.500

=====

First-principles (PBE+U) data for a geometry-optimized P2WSO structure, as listed in Alexandria.

Computed properties:
- E_tot (eV/cell) = -24.2
- space-group type = No. 123
- mass density (Mg/m³) = 6.71
- crystal system = tetragonal

Cell lengths 4.575, 4.575, 3.473 Å; angles 90.00, 90.00, 90.00 degrees
Site moments in Bohr magnetons follow the coordinates.
Fractional coordinates of all 5 atoms:
P  0.000  0.500  0.000  -0.16
P  0.500  0.000  0.000  -0.16
O  0.000  0.000  0.500  -0.02
W  0.500  0.500  0.500  2.43
S  0.000  0.000  0.000  0.00

=====

First-principles (PBE+U) data for a geometry-optimized P2WSO structure, as listed in Alexandria.

Computed properties:
- E_tot (eV/cell) = -23.7
- space-group type = No. 123
- mass density (Mg/m³) = 6.78
- crystal system = tetragonal

Cell lengths 4.033, 4.033, 4.423 Å; angles 90.00, 90.00, 90.00 degrees
Site moments in Bohr magnetons follow the coordinates.
Fractional coordinates of all 5 atoms:
O  0.000  0.000  0.000  -0.03
P  0.000  0.500  0.000  -0.17
P  0.500  0.000  0.000  -0.17
S  0.000  0.000  0.500  -0.15
W  0.500  0.500  0.500  2.47